Entry 1:
First-principles (PBEsol) data for an optimized crystal structure of MgInSb2, as listed in Alexandria via LeMat-Bulk.

Unit cell a=5.233 b=5.233 c=5.233 alpha=60.00 beta=60.00 gamma=60.00
Fractional positions:
1 In 0.500 0.500 0.500
2 Sb 0.750 0.750 0.750
3 Sb 0.000 0.000 0.000
4 Mg 0.250 0.250 0.250

Summary:
ΔE_f (raw): 0.033 eV/atom
Space group: F-43m, No. 216
Offset from the most stable computed form: 0.157 eV per atom

Entry 2:
First-principles (PBEsol) data for an optimized crystal structure of CoAs5, as listed in Alexandria via LeMat-Bulk.

Unit cell a=2.836 b=2.836 c=12.608 alpha=90.00 beta=90.00 gamma=90.00
Site moments in Bohr magnetons follow the coordinates.
Fractional positions:
1 Co 0.500 0.500 0.000  0.12
2 As 0.500 0.500 0.323  0.00
3 As 0.000 0.000 0.117  0.00
4 As 0.500 0.500 0.677  0.00
5 As 0.000 0.000 0.883  0.00
6 As 0.000 0.000 0.500  0.00

Summary:
Space group: P4/mmm, No. 123
Offset from the most stable computed form: 0.000 eV per atom

Entry 3:
First-principles (PBEsol) data for an optimized crystal structure of CoSi2Ni, as listed in Alexandria via LeMat-Bulk.

Unit cell a=3.379 b=3.379 c=4.442 alpha=112.36 beta=112.36 gamma=90.00
Fractional positions:
1 Si 0.000 0.000 0.000
2 Si 0.750 0.250 0.500
3 Ni 0.250 0.750 0.500
4 Co 0.500 0.500 0.000

Summary:
ΔE_f (raw): -0.484 eV/atom
Space group: I-4m2, No. 119

Entry 4:
First-principles (PBEsol) data for an optimized crystal structure of KTaIr2, as listed in Alexandria via LeMat-Bulk.

Unit cell a=2.750 b=5.101 c=5.448 alpha=115.52 beta=90.00 gamma=90.00
Fractional positions:
1 Ir 0.000 0.000 0.000
2 Ir 0.500 0.500 0.500
3 K 0.500 0.500 0.000
4 Ta 0.000 0.000 0.500

Summary:
Space group: P2/m, No. 10
Offset from the most stable computed form: 0.292 eV per atom

Entry 5:
First-principles (PBEsol) data for an optimized crystal structure of Ba2RuCl, as listed in Alexandria via LeMat-Bulk.

Unit cell a=4.260 b=4.260 c=6.749 alpha=108.40 beta=108.40 gamma=90.00
Site moments in Bohr magnetons follow the coordinates.
Fractional positions:
1 Cl 0.500 0.500 0.000  0.00
2 Ba 0.750 0.250 0.500  -0.01
3 Ba 0.000 0.000 0.000  -0.01
4 Ru 0.250 0.750 0.500  0.17

Summary:
ΔE_f (raw): -0.135 eV/atom
Space group: I-4m2, No. 119
Offset from the most stable computed form: 0.282 eV per atom

Entry 6:
First-principles (PBEsol) data for an optimized crystal structure of La2YTl, as listed in Alexandria via LeMat-Bulk.

Unit cell a=4.853 b=4.853 c=6.071 alpha=113.56 beta=113.56 gamma=90.00
Fractional positions:
1 Tl 0.500 0.500 0.000
2 La 0.000 0.000 0.000
3 La 0.750 0.250 0.500
4 Y 0.250 0.750 0.500

Summary:
Space group: I-4m2, No. 119
Offset from the most stable computed form: 0.030 eV per atom

Entry 7:
First-principles (PBEsol) data for an optimized crystal structure of Hf4N3, as listed in Alexandria via LeMat-Bulk.

Unit cell a=3.161 b=3.161 c=10.609 alpha=81.43 beta=81.43 gamma=60.00
Site moments in Bohr magnetons follow the coordinates.
Fractional positions:
1 N 0.500 0.500 0.501  0.01
2 N 0.085 0.085 0.745  0.00
3 N 0.998 0.998 0.006  0.01
4 Hf 0.794 0.794 0.619  0.00
5 Hf 0.625 0.625 0.124  0.08
6 Hf 0.209 0.209 0.374  0.11
7 Hf 0.374 0.374 0.877  0.03

Summary:
ΔE_f (raw): -1.707 eV/atom
Space group: R3m, No. 160
Offset from the most stable computed form: 0.004 eV per atom

Entry 8:
First-principles (PBEsol) data for an optimized crystal structure of FePSe, as listed in Alexandria via LeMat-Bulk.

Unit cell a=5.630 b=5.658 c=5.726 alpha=112.89 beta=90.00 gamma=90.00
Fractional positions:
1 P 0.636 0.859 0.117
2 P 0.136 0.141 0.383
3 P 0.364 0.141 0.883
4 P 0.864 0.859 0.617
5 Fe 0.008 0.265 0.789
6 Fe 0.992 0.735 0.211
7 Fe 0.508 0.735 0.711
8 Fe 0.492 0.265 0.289
9 Se 0.129 0.661 0.814
10 Se 0.871 0.339 0.186
11 Se 0.629 0.339 0.686
12 Se 0.371 0.661 0.314

Summary:
ΔE_f (raw): -0.496 eV/atom
Space group: P2_1/c, No. 14

Entry 9:
First-principles (PBEsol) data for an optimized crystal structure of Ba3EuB9O18, as listed in Alexandria via LeMat-Bulk.

Unit cell a=7.217 b=7.217 c=16.953 alpha=90.00 beta=90.00 gamma=120.00
Site moments in Bohr magnetons follow the coordinates.
Fractional positions:
1 O 0.749 0.999 0.086  -0.03
2 O 0.250 0.251 0.086  -0.03
3 O 0.457 0.290 0.250  0.00
4 O 0.586 0.669 0.250  0.00
5 O 0.378 0.501 0.916  0.00
6 O 0.331 0.917 0.250  0.00
7 O 0.499 0.877 0.916  0.00
8 O 0.749 0.999 0.414  -0.03
9 O 0.499 0.877 0.584  0.00
10 O 0.251 0.001 0.586  -0.03
11 O 0.833 0.543 0.250  0.00
12 O 0.414 0.331 0.750  0.00
13 O 0.123 0.622 0.584  0.00
14 O 0.999 0.250 0.914  -0.03
15 O 0.917 0.586 0.750  0.00
16 O 0.501 0.123 0.084  0.00
17 O 0.501 0.123 0.416  0.00
18 O 0.999 0.250 0.586  -0.03
19 O 0.877 0.378 0.416  0.00
20 O 0.543 0.710 0.750  0.00
21 O 0.750 0.749 0.586  -0.03
22 O 0.750 0.749 0.914  -0.03
23 O 0.251 0.001 0.914  -0.03
24 O 0.877 0.378 0.084  0.00
25 O 0.710 0.167 0.250  0.00
26 O 0.378 0.501 0.584  0.00
27 O 0.622 0.499 0.416  0.00
28 O 0.669 0.083 0.750  0.00
29 O 0.250 0.251 0.414  -0.03
30 O 0.001 0.750 0.414  -0.03
31 O 0.167 0.457 0.750  0.00
32 O 0.123 0.622 0.916  0.00
33 O 0.001 0.750 0.086  -0.03
34 O 0.622 0.499 0.084  0.00
35 O 0.083 0.414 0.250  0.00
36 O 0.290 0.833 0.750  0.00
37 B 0.713 0.163 0.085  0.00
38 B 0.713 0.163 0.415  0.00
39 B 0.884 0.379 0.250  0.00
40 B 0.163 0.450 0.915  0.00
41 B 0.550 0.713 0.585  0.00
42 B 0.450 0.287 0.415  0.00
43 B 0.837 0.550 0.415  0.00
44 B 0.163 0.450 0.585  0.00
45 B 0.837 0.550 0.085  0.00
46 B 0.621 0.505 0.250  0.00
47 B 0.116 0.621 0.750  0.00
48 B 0.287 0.837 0.585  0.00
49 B 0.379 0.495 0.750  0.00
50 B 0.287 0.837 0.915  0.00
51 B 0.450 0.287 0.085  0.00
52 B 0.550 0.713 0.915  0.00
53 B 0.495 0.116 0.250  0.00
54 B 0.505 0.884 0.750  0.00
55 Eu 0.000 0.000 0.000  6.16
56 Eu 0.000 0.000 0.500  6.16
57 Ba 0.667 0.333 0.632  0.00
58 Ba 0.333 0.667 0.368  0.00
59 Ba 0.667 0.333 0.868  0.00
60 Ba 0.000 0.000 0.250  0.00
61 Ba 0.000 0.000 0.750  0.00
62 Ba 0.333 0.667 0.132  0.00

Summary:
ΔE_f (raw): -2.661 eV/atom
Space group: P6_3/m, No. 176

Entry 10:
First-principles (PBEsol) data for an optimized crystal structure of NaCu2Au2, as listed in Alexandria via LeMat-Bulk.

Unit cell a=2.753 b=7.602 c=7.602 alpha=90.00 beta=90.00 gamma=90.00
Fractional positions:
1 Cu 0.000 0.384 0.884
2 Cu 0.000 0.884 0.616
3 Cu 0.000 0.116 0.384
4 Cu 0.000 0.616 0.116
5 Na 0.000 0.500 0.500
6 Na 0.000 0.000 0.000
7 Au 0.500 0.179 0.679
8 Au 0.500 0.821 0.321
9 Au 0.500 0.679 0.821
10 Au 0.500 0.321 0.179

Summary:
Space group: P4/mbm, No. 127
Offset from the most stable computed form: 0.000 eV per atom

Entry 11:
First-principles (PBEsol) data for an optimized crystal structure of Re2GePb, as listed in Alexandria via LeMat-Bulk.

Unit cell a=4.523 b=4.523 c=4.523 alpha=60.00 beta=60.00 gamma=60.00
Fractional positions:
1 Ge 0.000 0.000 0.000
2 Pb 0.500 0.500 0.500
3 Re 0.750 0.750 0.750
4 Re 0.250 0.250 0.250

Summary:
Space group: Fm-3m, No. 225
DFT total energy: -32.12 eV/cell

Entry 12:
First-principles (PBEsol) data for an optimized crystal structure of Be2Co2Pd, as listed in Alexandria via LeMat-Bulk.

Unit cell a=2.502 b=6.412 c=6.412 alpha=90.00 beta=90.00 gamma=90.00
Site moments in Bohr magnetons follow the coordinates.
Fractional positions:
1 Co 0.000 0.380 0.880  1.01
2 Co 0.000 0.120 0.380  1.01
3 Co 0.000 0.620 0.120  1.01
4 Co 0.000 0.880 0.620  1.01
5 Pd 0.000 0.500 0.500  0.09
6 Pd 0.000 0.000 0.000  0.09
7 Be 0.500 0.176 0.676  -0.03
8 Be 0.500 0.676 0.824  -0.03
9 Be 0.500 0.824 0.324  -0.03
10 Be 0.500 0.324 0.176  -0.03

Summary:
Space group: P4/mbm, No. 127
DFT total energy: -59.27 eV/cell

Entry 13:
First-principles (PBEsol) data for an optimized crystal structure of RbAlIrSe2, as listed in Alexandria via LeMat-Bulk.

Unit cell a=5.550 b=5.550 c=5.403 alpha=90.00 beta=90.00 gamma=90.00
Site moments in Bohr magnetons follow the coordinates.
Fractional positions:
1 Se 0.500 0.000 0.000  0.10
2 Se 0.000 0.500 0.000  0.10
3 Ir 0.500 0.500 0.500  1.87
4 Rb 0.000 0.000 0.000  0.01
5 Al 0.000 0.000 0.500  -0.01

Summary:
ΔE_f (raw): 2.243 eV/atom
Space group: P4/mmm, No. 123

Entry 14:
First-principles (PBEsol) data for an optimized crystal structure of TaVCo, as listed in Alexandria via LeMat-Bulk.

Unit cell a=4.794 b=4.794 c=7.963 alpha=90.00 beta=90.00 gamma=118.97
Fractional positions:
1 Ta 0.340 0.660 0.305
2 Ta 0.340 0.660 0.695
3 Ta 0.672 0.328 0.816
4 Ta 0.672 0.328 0.184
5 Co 0.001 0.999 0.244
6 Co 0.159 0.351 0.000
7 Co 0.649 0.841 0.000
8 Co 0.001 0.999 0.756
9 V 0.340 0.163 0.500
10 V 0.158 0.842 0.000
11 V 0.837 0.660 0.500
12 V 0.832 0.168 0.500

Summary:
Space group: Amm2, No. 38
DFT total energy: -122.62 eV/cell

Entry 15:
First-principles (PBEsol) data for an optimized crystal structure of Mg2CdAs, as listed in Alexandria via LeMat-Bulk.

Unit cell a=3.195 b=5.001 c=5.010 alpha=90.00 beta=90.00 gamma=90.00
Fractional positions:
1 Mg 0.000 0.500 0.647
2 Mg 0.000 0.000 0.104
3 Cd 0.500 0.500 0.147
4 As 0.500 0.000 0.602

Summary:
Space group: Pmm2, No. 25
Offset from the most stable computed form: 0.055 eV per atom

Entry 16:
First-principles (PBEsol) data for an optimized crystal structure of Ta2Pt3S8, as listed in Alexandria via LeMat-Bulk.

Unit cell a=3.429 b=10.416 c=14.357 alpha=90.00 beta=90.00 gamma=90.00
Fractional positions:
1 S 0.500 0.238 0.290
2 S 0.000 0.776 0.002
3 S 0.500 0.762 0.710
4 S 0.000 0.224 0.998
5 S 0.500 0.936 0.374
6 S 0.000 0.966 0.841
7 S 0.000 0.466 0.659
8 S 0.500 0.262 0.790
9 S 0.000 0.534 0.341
10 S 0.000 0.276 0.498
11 S 0.500 0.738 0.210
12 S 0.000 0.724 0.502
13 S 0.500 0.436 0.126
14 S 0.000 0.034 0.159
15 S 0.500 0.064 0.626
16 S 0.500 0.564 0.874
17 Ta 0.500 0.701 0.378
18 Ta 0.500 0.799 0.878
19 Ta 0.500 0.201 0.122
20 Ta 0.500 0.299 0.622
21 Pt 0.000 0.137 0.725
22 Pt 0.000 0.863 0.275
23 Pt 0.000 0.500 0.500
24 Pt 0.000 0.637 0.775
25 Pt 0.000 0.363 0.225
26 Pt 0.000 0.000 0.000

Summary:
ΔE_f (raw): -0.799 eV/atom
Space group: Pbam, No. 55

Entry 17:
First-principles (PBEsol) data for an optimized crystal structure of ZrPb2W, as listed in Alexandria via LeMat-Bulk.

Unit cell a=3.132 b=5.600 c=5.600 alpha=112.64 beta=101.08 gamma=101.08
Fractional positions:
1 W 0.500 0.000 0.000
2 Pb 0.000 0.500 0.000
3 Pb 0.000 0.000 0.500
4 Zr 0.500 0.500 0.500

Summary:
Space group: C2/m, No. 12
Offset from the most stable computed form: 0.036 eV per atom

Entry 18:
First-principles (PBEsol) data for an optimized crystal structure of Li6Ni11O22, as listed in Alexandria via LeMat-Bulk.

Unit cell a=7.390 b=7.577 c=7.549 alpha=85.49 beta=69.79 gamma=65.97
Site moments in Bohr magnetons follow the coordinates.
Fractional positions:
1 Ni 0.495 0.504 0.000  0.60
2 Ni 0.768 0.687 0.823  0.12
3 Ni 0.688 0.948 0.537  0.68
4 Ni 0.324 0.041 0.454  0.60
5 Ni 0.130 0.597 0.917  0.68
6 Ni 0.864 0.409 0.089  0.58
7 Ni 0.409 0.773 0.727  0.11
8 Ni 0.592 0.228 0.269  0.08
9 Ni 0.955 0.137 0.366  0.58
10 Ni 0.226 0.318 0.185  0.08
11 Ni 0.050 0.858 0.632  0.12
12 O 0.538 0.906 0.808  0.10
13 O 0.643 0.557 0.739  0.10
14 O 0.355 0.449 0.268  0.08
15 O 0.828 0.013 0.277  0.10
16 O 0.361 0.369 0.941  0.04
17 O 0.725 0.275 0.020  0.04
18 O 0.175 0.988 0.715  0.10
19 O 0.458 0.176 0.513  0.04
20 O 0.551 0.812 0.480  0.03
21 O 0.616 0.646 0.068  0.08
22 O 0.267 0.733 0.975  0.03
23 O 0.998 0.467 0.845  0.01
24 O 0.990 0.533 0.177  0.10
25 O 0.906 0.826 0.882  0.04
26 O 0.820 0.078 0.609  0.01
27 O 0.716 0.375 0.336  0.10
28 O 0.280 0.639 0.646  0.10
29 O 0.464 0.096 0.187  0.08
30 O 0.093 0.270 0.434  0.04
31 O 0.103 0.170 0.119  0.10
32 O 0.203 0.899 0.386  0.08
33 O 0.912 0.719 0.572  0.04
34 Li 0.196 0.424 0.573  0.00
35 Li 0.623 0.121 0.881  0.00
36 Li 0.452 0.634 0.363  0.01
37 Li 0.823 0.540 0.457  0.01
38 Li 0.996 0.005 0.998  0.01
39 Li 0.366 0.911 0.091  0.01

Summary:
ΔE_f (raw): -1.105 eV/atom
Space group: P-1, No. 2

Entry 19:
First-principles (PBEsol) data for an optimized crystal structure of RbCo3Ag, as listed in Alexandria via LeMat-Bulk.

Unit cell a=4.806 b=4.806 c=4.806 alpha=90.00 beta=90.00 gamma=90.00
Site moments in Bohr magnetons follow the coordinates.
Fractional positions:
1 Co 0.500 0.000 0.000  2.01
2 Co 0.000 0.500 0.000  2.01
3 Co 0.000 0.000 0.500  2.01
4 Ag 0.000 0.000 0.000  0.07
5 Rb 0.500 0.500 0.500  -0.01

Summary:
Space group: Pm-3m, No. 221
DFT total energy: -19.23 eV/cell

Entry 20:
First-principles (PBEsol) data for an optimized crystal structure of KSrPb4, as listed in Alexandria via LeMat-Bulk.

Unit cell a=6.560 b=6.560 c=6.560 alpha=60.00 beta=60.00 gamma=60.00
Fractional positions:
1 Sr 0.750 0.750 0.750
2 Pb 0.376 0.376 0.376
3 Pb 0.376 0.376 0.873
4 Pb 0.376 0.873 0.376
5 Pb 0.873 0.376 0.376
6 K 0.000 0.000 0.000

Summary:
Space group: F-43m, No. 216
DFT total energy: -20.67 eV/cell